# 1
# BaCa3Sb | Alexandria via LeMat-Bulk | SCAN | single point on PBEsol structure
data_BaCa3Sb
_chemical_formula_sum 'Ba1 Ca3 Sb1'
_cell_length_a 6.0565
_cell_length_b 6.0565
_cell_length_c 6.0565
_cell_angle_alpha 90.00
_cell_angle_beta 90.00
_cell_angle_gamma 90.00
_space_group_name_H-M_alt 'P 1'
_space_group_IT_number 1
_space_group_name_Hall 'P 1'
loop_
_atom_site_label
_atom_site_type_symbol
_atom_site_fract_x
_atom_site_fract_y
_atom_site_fract_z
Ba1 Ba 0.0000 0.0000 0.0000
Ca1 Ca 0.0000 0.5000 0.5000
Ca2 Ca 0.5000 0.0000 0.5000
Ca3 Ca 0.5000 0.5000 0.0000
Sb1 Sb 0.5000 0.5000 0.5000
# excess energy over the best structure of this formula in the dataset: 0 meV per atom
# formation energy from raw total energies: -1.7 eV/f.u.
# symmetry: No. 221
# magnetic moment: 0.94 Bohr magnetons per cell
# ρ: 2.8 g/cm³

---

# 2
# BaCaSb2 | Alexandria via LeMat-Bulk | SCAN | single point on PBEsol structure
data_BaCaSb2
_chemical_formula_sum 'Ba1 Ca1 Sb2'
_cell_length_a 3.5956
_cell_length_b 5.7057
_cell_length_c 6.6889
_cell_angle_alpha 90.00
_cell_angle_beta 90.00
_cell_angle_gamma 90.00
_space_group_name_H-M_alt 'P 1'
_space_group_IT_number 1
_space_group_name_Hall 'P 1'
loop_
_atom_site_label
_atom_site_type_symbol
_atom_site_fract_x
_atom_site_fract_y
_atom_site_fract_z
Ba1 Ba 0.0000 0.0000 0.0000
Ca1 Ca 0.5000 0.5000 0.5000
Sb1 Sb 0.0000 0.0000 0.5000
Sb2 Sb 0.5000 0.5000 0.0000
# excess energy over the best structure of this formula in the dataset: 155 meV per atom
# formation energy from raw total energies: -3.1 eV/f.u.
# symmetry: No. 47
# magnetic moment: 0.00 Bohr magnetons per cell
# ρ: 5.1 g/cm³

---

# 3
# BaCa2Sb | Alexandria via LeMat-Bulk | SCAN | single point on PBEsol structure
data_BaCa2Sb
_chemical_formula_sum 'Ba1 Ca2 Sb1'
_cell_length_a 4.3049
_cell_length_b 4.3049
_cell_length_c 8.0390
_cell_angle_alpha 90.00
_cell_angle_beta 90.00
_cell_angle_gamma 90.00
_space_group_name_H-M_alt 'P 1'
_space_group_IT_number 1
_space_group_name_Hall 'P 1'
loop_
_atom_site_label
_atom_site_type_symbol
_atom_site_fract_x
_atom_site_fract_y
_atom_site_fract_z
Ba1 Ba 0.0000 0.0000 0.0000
Ca1 Ca 0.0000 0.0000 0.5929
Ca2 Ca 0.5000 0.5000 0.3431
Sb1 Sb 0.5000 0.5000 0.7537
# formation energy from raw total energies: -2.2 eV/f.u.
# symmetry: No. 99
# magnetic moment: 0.00 Bohr magnetons per cell
# ρ: 3.8 g/cm³

---

# 4
# BaCaSb2 | Alexandria via LeMat-Bulk | SCAN | single point on PBEsol structure
data_BaCaSb2
_chemical_formula_sum 'Ba1 Ca1 Sb2'
_cell_length_a 4.1795
_cell_length_b 4.1795
_cell_length_c 7.2175
_cell_angle_alpha 90.00
_cell_angle_beta 90.00
_cell_angle_gamma 90.00
_space_group_name_H-M_alt 'P 1'
_space_group_IT_number 1
_space_group_name_Hall 'P 1'
loop_
_atom_site_label
_atom_site_type_symbol
_atom_site_fract_x
_atom_site_fract_y
_atom_site_fract_z
Ba1 Ba 0.0000 0.0000 0.0000
Ca1 Ca 0.0000 0.0000 0.5000
Sb1 Sb 0.5000 0.5000 0.2904
Sb2 Sb 0.5000 0.5000 0.7096
# excess energy over the best structure of this formula in the dataset: 0 meV per atom
# formation energy from raw total energies: -3.7 eV/f.u.
# symmetry: No. 123
# magnetic moment: 0.00 Bohr magnetons per cell
# ρ: 5.5 g/cm³

---

# 5
# Ba2CaSc | Alexandria via LeMat-Bulk | SCAN | single point on PBEsol structure
data_Ba2CaSc
_chemical_formula_sum 'Ba2 Ca1 Sc1'
_cell_length_a 7.2898
_cell_length_b 7.2898
_cell_length_c 7.2898
_cell_angle_alpha 146.03
_cell_angle_beta 130.18
_cell_angle_gamma 61.67
_space_group_name_H-M_alt 'P 1'
_space_group_IT_number 1
_space_group_name_Hall 'P 1'
loop_
_atom_site_label
_atom_site_type_symbol
_atom_site_fract_x
_atom_site_fract_y
_atom_site_fract_z
Ba1 Ba 0.2268 0.2268 0.0000
Ba2 Ba 0.7732 0.7732 0.0000
Ca1 Ca 0.5000 0.0000 0.5000
Sc1 Sc 0.0000 0.5000 0.5000
# excess energy over the best structure of this formula in the dataset: 18 meV per atom
# symmetry: No. 71
# magnetic moment: 0.15 Bohr magnetons per cell
# ρ: 3.6 g/cm³

---

# 6
# Ba2CaSc | Alexandria via LeMat-Bulk | SCAN | single point on PBEsol structure
data_Ba2CaSc
_chemical_formula_sum 'Ba2 Ca1 Sc1'
_cell_length_a 6.1393
_cell_length_b 6.1393
_cell_length_c 6.1393
_cell_angle_alpha 60.00
_cell_angle_beta 60.00
_cell_angle_gamma 60.00
_space_group_name_H-M_alt 'P 1'
_space_group_IT_number 1
_space_group_name_Hall 'P 1'
loop_
_atom_site_label
_atom_site_type_symbol
_atom_site_fract_x
_atom_site_fract_y
_atom_site_fract_z
Ba1 Ba 0.0000 0.0000 0.0000
Ba2 Ba 0.2500 0.2500 0.2500
Ca1 Ca 0.5000 0.5000 0.5000
Sc1 Sc 0.7500 0.7500 0.7500
# excess energy over the best structure of this formula in the dataset: 0 meV per atom
# symmetry: No. 216
# magnetic moment: 0.49 Bohr magnetons per cell
# ρ: 3.7 g/cm³